A relaxed UTiVO6 crystal. Source: Alexandria via LeMat-Bulk, functional PBE with a Hubbard U.

Lattice parameters (Å, degrees): 5.2255 5.2255 9.0299 90.00 90.00 120.00
Space group P-31c (No. 163)
Symmetry-distinct sites (fractional):
U 0.3333 0.6667 0.2500 x2
Ti 0.0000 0.0000 0.0000 x2
V 0.3333 0.6667 0.7500 x2
O 0.0027 0.3196 0.6247 x12

Results
* total energy: -8.984 eV per atom
* magnetization: 6.00 μB per cell
* calculated volume: 214 Å³/cell